DFT (PBE) results for a geometry-optimized SrThIn structure.

The structure in extended XYZ format:
```
6
Lattice="-2.011 2.011 13.780 2.011 -2.011 13.780 2.011 2.011 -13.780" Properties=species:S:1:pos:R:3 pbc="T T T"
Sr 0.000 0.000 2.053
Sr 0.000 0.000 25.506
Th 0.000 0.000 5.884
Th 0.000 0.000 21.676
In 0.000 0.000 9.636
In 0.000 0.000 17.924
```

**Calculated total energy**: -4.08 eV/atom
**SG**: I4/mmm (139)
**Energy of formation**: -0.14 eV/atom